A plane-wave DFT calculation with PBE was carried out for an optimized crystal structure of TbPaZnIr.

Summary:
DFT formation energy (eV/atom): -0.3702

Cell lengths 4.9530, 4.9530, 4.9530 Å; angles 60.00, 60.00, 60.00 degrees
Closest atoms and distances in Å follow each position.
Fractional positions:
Ir 0.5000 0.5000 0.5000  4 Tb 3.03, 4 Pa 3.03
Tb 0.7500 0.7500 0.7500  4 Zn 3.03, 4 Ir 3.03
Pa 0.2500 0.2500 0.2500  4 Ir 3.03, 4 Zn 3.03
Zn 0.0000 0.0000 0.0000  4 Tb 3.03, 4 Pa 3.03